[1]
DFT (PBE) results for a relaxed structure of NaGaSb2N.

It has space group P4/mmm (No. 123), with a = 5.2844 Å, b = 5.2844 Å, c = 5.8734 Å, α = 90.00°, β = 90.00° and γ = 90.00°. The asymmetric unit holds Na at (0.0000, 0.0000, 0.0000), Ga at (0.0000, 0.0000, 0.5000), Sb at (0.0000, 0.5000, 0.5000) and N at (0.5000, 0.5000, 0.0000).

The crystal system is tetragonal. For the uncorrected formation energy, the calculation gives 1.23 eV per atom.

---

[2]
DFT (PBE) results for a relaxed structure of NaGaSnN2.

It has space group P4/mmm (No. 123), with a = 4.2490 Å, b = 4.2490 Å, c = 5.7883 Å, α = 90.00°, β = 90.00° and γ = 90.00°. The asymmetric unit holds Na at (0.0000, 0.0000, 0.0000), Ga at (0.5000, 0.5000, 0.0000), Sn at (0.0000, 0.0000, 0.5000) and N at (0.0000, 0.5000, 0.5000).

The crystal system is tetragonal. For the uncorrected formation energy, the calculation gives 1.27 eV per atom.

---

[3]
DFT (PBE) results for a relaxed structure of NaGaTe2N.

It has space group P4/mmm (No. 123), with a = 6.0687 Å, b = 6.0687 Å, c = 3.4670 Å, α = 90.00°, β = 90.00° and γ = 90.00°. The asymmetric unit holds Na at (0.0000, 0.0000, 0.0000), Ga at (0.5000, 0.5000, 0.5000), Te at (0.0000, 0.5000, 0.5000) and N at (0.5000, 0.5000, 0.0000).

The polymorph energy (0 for the lowest one) is 0 meV per atom. The crystal system is tetragonal. For the uncorrected formation energy, the calculation gives 0.23 eV per atom.

---

[4]
DFT (PBE) results for a relaxed structure of NaGaTe2N.

It has space group P4/mmm (No. 123), with a = 5.6090 Å, b = 5.6090 Å, c = 4.2486 Å, α = 90.00°, β = 90.00° and γ = 90.00°. The asymmetric unit holds Na at (0.0000, 0.0000, 0.0000), Ga at (0.5000, 0.5000, 0.5000), Te at (0.0000, 0.5000, 0.0000) and N at (0.0000, 0.0000, 0.5000).

The polymorph energy (0 for the lowest one) is 974 meV per atom. The crystal system is tetragonal. For the uncorrected formation energy, the calculation gives 1.20 eV per atom.